[1]
The following is a PBE calculation of a geometry-optimized BaSmNp2O8 structure, from the Alexandria database.

Lattice parameters (Å, degrees): 6.7363 6.7363 6.7363 130.67 130.67 72.34
Sites, in units of the cell vectors:
Ba (0.0000, 0.0000, 0.0000)
Sm (0.2500, 0.7500, 0.5000)
Np (0.5000, 0.5000, 0.0000)
Np (0.7500, 0.2500, 0.5000)
O (0.0942, 0.1411, 0.5259)
O (0.1772, 0.6088, 0.0144)
O (0.3912, 0.4056, 0.5684)
O (0.4317, 0.9058, 0.0469)
O (0.5944, 0.1628, 0.9856)
O (0.6152, 0.5683, 0.4741)
O (0.8372, 0.8228, 0.4316)
O (0.8589, 0.3848, 0.9531)

Properties
The calculation puts the formation energy without anion corrections at -2.875 eV per atom.



[2]
The following is a PBE calculation of a geometry-optimized Ba3SmNp2O9 structure, from the Alexandria database.

Lattice parameters (Å, degrees): 6.2735 6.2735 7.6850 90.00 90.00 120.00
Sites, in units of the cell vectors:
Ba (0.0000, 0.0000, 0.0000)
Ba (0.3333, 0.6667, 0.6596)
Ba (0.6667, 0.3333, 0.3404)
Sm (0.0000, 0.0000, 0.5000)
Np (0.3333, 0.6667, 0.1639)
Np (0.6667, 0.3333, 0.8361)
O (0.0000, 0.5000, 0.0000)
O (0.1724, 0.3448, 0.3260)
O (0.1724, 0.8276, 0.3260)
O (0.3448, 0.1724, 0.6740)
O (0.5000, 0.0000, 0.0000)
O (0.5000, 0.5000, 0.0000)
O (0.6552, 0.8276, 0.3260)
O (0.8276, 0.1724, 0.6740)
O (0.8276, 0.6552, 0.6740)

Properties
The calculation puts the formation energy without anion corrections at -3.021 eV per atom.



[3]
The following is a PBE calculation of a geometry-optimized BaSm2NpO8 structure, from the Alexandria database.

Lattice parameters (Å, degrees): 4.1584 7.9319 5.4753 90.00 95.82 90.00
Sites, in units of the cell vectors:
Ba (0.0000, 0.0000, 0.0000)
Sm (0.5000, 0.2654, 0.5000)
Sm (0.5000, 0.7346, 0.5000)
Np (0.0000, 0.5000, 0.0000)
O (0.0397, 0.3023, 0.7607)
O (0.0397, 0.6977, 0.7607)
O (0.4403, 0.5000, 0.2222)
O (0.4685, 0.0000, 0.6960)
O (0.5315, 0.0000, 0.3040)
O (0.5597, 0.5000, 0.7778)
O (0.9603, 0.3023, 0.2393)
O (0.9603, 0.6977, 0.2393)

Properties
The calculation puts the formation energy without anion corrections at -2.818 eV per atom.



What is the formation energy without anion corrections in the first record?
-2.875 eV per atom



Among the records above, which one has the highest formation energy without anion corrections?
BaSm2NpO8



Repeat the third record exactly.
The following is a PBE calculation of a geometry-optimized BaSm2NpO8 structure, from the Alexandria database.

Lattice parameters (Å, degrees): 4.1584 7.9319 5.4753 90.00 95.82 90.00
Sites, in units of the cell vectors:
Ba (0.0000, 0.0000, 0.0000)
Sm (0.5000, 0.2654, 0.5000)
Sm (0.5000, 0.7346, 0.5000)
Np (0.0000, 0.5000, 0.0000)
O (0.0397, 0.3023, 0.7607)
O (0.0397, 0.6977, 0.7607)
O (0.4403, 0.5000, 0.2222)
O (0.4685, 0.0000, 0.6960)
O (0.5315, 0.0000, 0.3040)
O (0.5597, 0.5000, 0.7778)
O (0.9603, 0.3023, 0.2393)
O (0.9603, 0.6977, 0.2393)

Properties
The calculation puts the formation energy without anion corrections at -2.818 eV per atom.